--- i ---
Material: YAlSeBr2
Method: DFT, PBE
State: optimized geometry

POSCAR file:
```
YAlSeBr2
1.0
-4.190 -1.852 -2.113
2.702 -3.696 -2.120
-0.779 -2.929 4.114
Y Se Br Al
1 1 2 1
Direct
0.500 0.500 0.500
0.000 0.000 0.500
0.000 0.500 0.000
0.500 0.000 0.000
0.000 0.000 0.000
```



--- ii ---
Material: YAlSeBr2
Method: DFT, PBE
State: optimized geometry

POSCAR file:
```
YAlSeBr2
1.0
5.592 0.000 0.000
0.000 5.592 0.000
0.000 0.000 5.509
Y Se Br Al
1 1 2 1
Direct
0.000 0.000 0.000
0.000 0.000 0.500
0.000 0.500 0.000
0.500 0.000 0.000
0.500 0.500 0.500
```



Referenced to the most stable arrangement, the calculated values in eV/atom are i 0.428; ii 0.000.



--- i ---
Material: ZrAlSeBr2
Method: DFT, PBE
State: optimized geometry

POSCAR file:
```
ZrAlSeBr2
1.0
5.373 0.000 0.000
0.000 5.373 0.000
0.000 0.000 5.252
Se Br Zr Al
1 2 1 1
Direct
0.000 0.000 0.500
0.000 0.500 0.000
0.500 0.000 0.000
0.000 0.000 0.000
0.500 0.500 0.500
```



--- ii ---
Material: ZrAlSeBr2
Method: DFT, PBE
State: optimized geometry

POSCAR file:
```
ZrAlSeBr2
1.0
-0.136 -3.695 3.337
3.144 -2.653 -2.809
3.932 2.067 2.449
Se Br Zr Al
1 2 1 1
Direct
0.000 0.000 0.500
0.000 0.500 0.000
0.500 0.000 0.000
0.500 0.500 0.500
0.000 0.000 0.000
```



Referenced to the most stable arrangement, the calculated values in eV/atom are i 0.000; ii 0.534.



--- i ---
Material: ZrAlSe2Br
Method: DFT, PBE
State: optimized geometry

POSCAR file:
```
ZrAlSe2Br
1.0
-0.088 0.878 -5.171
-4.999 -1.582 -0.183
-1.633 5.058 0.887
Se Br Zr Al
2 1 1 1
Direct
0.000 0.500 0.000
0.500 0.000 0.000
0.000 0.000 0.500
0.000 0.000 0.000
0.500 0.500 0.500
```



--- ii ---
Material: ZrAlSe2Br
Method: DFT, PBE
State: optimized geometry

POSCAR file:
```
ZrAlSe2Br
1.0
4.938 0.000 0.000
0.000 4.938 0.000
0.000 0.000 4.831
Se Br Zr Al
2 1 1 1
Direct
0.000 0.500 0.000
0.500 0.000 0.000
0.000 0.000 0.500
0.500 0.500 0.500
0.000 0.000 0.000
```



Referenced to the most stable arrangement, the calculated values in eV/atom are i 0.000; ii 0.432.



--- i ---
Material: AlSiBr
Method: DFT, PBE
State: optimized geometry

POSCAR file:
```
AlSiBr
1.0
6.006 0.016 0.000
3.711 4.722 0.000
-4.859 -2.369 2.618
Si Al Br
1 1 1
Direct
0.567 0.567 0.000
0.097 0.097 0.000
0.337 0.337 0.000
```



--- ii ---
Material: AlSiBr
Method: DFT, PBE
State: optimized geometry

POSCAR file:
```
AlSiBr
1.0
3.315 0.000 0.000
-1.657 2.871 0.000
0.000 0.000 7.384
Si Al Br
1 1 1
Direct
0.333 0.667 0.751
0.000 0.000 0.003
0.667 0.333 0.246
```



--- iii ---
Material: AlSiBr
Method: DFT, PBE
State: optimized geometry

POSCAR file:
```
AlSiBr
1.0
7.763 0.060 -0.037
6.715 3.192 0.049
1.048 -1.321 2.841
Si Al Br
1 1 1
Direct
0.368 0.368 0.632
0.000 0.000 0.000
0.631 0.631 0.369
```



--- iv ---
Material: AlSiBr
Method: DFT, PBE
State: optimized geometry

POSCAR file:
```
AlSiBr
1.0
-2.377 3.239 2.416
0.257 0.090 4.680
2.298 3.472 2.155
Si Al Br
1 1 1
Direct
0.750 0.750 0.750
0.000 0.000 0.000
0.500 0.500 0.500
```



Referenced to the most stable arrangement, the calculated values in eV/atom are i 0.014; ii 0.000; iii 0.201; iv 0.530.



--- i ---
Material: AlSnBr2
Method: DFT, PBE
State: optimized geometry

POSCAR file:
```
AlSnBr2
1.0
0.000 3.778 3.778
3.778 0.000 3.778
3.778 3.778 0.000
Sn Br Al
1 2 1
Direct
0.500 0.500 0.500
0.250 0.250 0.250
0.750 0.750 0.750
0.000 0.000 0.000
```



--- ii ---
Material: AlSnBr2
Method: DFT, PBE
State: optimized geometry

POSCAR file:
```
AlSnBr2
1.0
8.308 0.000 0.000
0.000 8.308 0.000
4.154 4.154 3.405
Sn Br Al
2 4 2
Direct
0.000 0.000 0.000
0.750 0.250 0.500
0.621 0.125 0.250
0.129 0.625 0.250
0.375 0.379 0.750
0.875 0.871 0.750
0.500 0.500 0.000
0.250 0.750 0.500
```



Referenced to the most stable arrangement, the calculated values in eV/atom are i 0.064; ii 0.000.



--- i ---
Material: Al3SnBr
Method: DFT, PBE
State: optimized geometry

POSCAR file:
```
Al3SnBr
1.0
-2.953 -0.900 -4.205
2.816 -4.259 -1.066
-3.250 -2.873 2.897
Sn Br Al
1 1 3
Direct
0.500 0.500 0.500
0.000 0.000 0.000
0.000 0.500 0.000
0.000 0.000 0.500
0.500 0.000 0.000
```



--- ii ---
Material: Al3SnBr
Method: DFT, PBE
State: optimized geometry

POSCAR file:
```
Al3SnBr
1.0
5.470 0.000 0.000
0.000 5.470 0.000
0.000 0.000 5.470
Sn Br Al
1 1 3
Direct
0.000 0.000 0.000
0.500 0.500 0.500
0.000 0.500 0.000
0.000 0.000 0.500
0.500 0.000 0.000
```



Referenced to the most stable arrangement, the calculated values in eV/atom are i 0.172; ii 0.000.



--- i ---
Material: Al2SnBr8
Method: DFT, PBE
State: optimized geometry

POSCAR file:
```
Al2SnBr8
1.0
8.621 0.000 3.805
3.671 9.833 3.351
0.304 0.214 10.981
Al Sn Br
4 2 16
Direct
0.840 0.853 0.957
0.351 0.353 0.457
0.649 0.647 0.543
0.160 0.147 0.043
0.002 0.750 0.250
0.998 0.250 0.750
0.388 0.756 0.532
0.129 0.980 0.240
0.731 0.955 0.153
0.229 0.200 0.466
0.269 0.045 0.847
0.895 0.300 0.034
0.771 0.800 0.534
0.162 0.455 0.653
0.105 0.700 0.966
0.676 0.744 0.968
0.651 0.480 0.740
0.349 0.520 0.260
0.324 0.256 0.032
0.838 0.545 0.347
0.612 0.244 0.468
0.871 0.020 0.760
```



--- ii ---
Material: Al2SnBr8
Method: DFT, PBE
State: optimized geometry

POSCAR file:
```
Al2SnBr8
1.0
-5.565 -3.159 2.016
2.408 -7.807 -2.287
3.332 -3.538 6.954
Al Sn Br
2 1 8
Direct
0.656 0.801 0.801
0.344 0.199 0.199
0.000 0.000 0.000
0.245 0.293 0.928
0.755 0.072 0.707
0.303 0.808 0.808
0.697 0.192 0.192
0.245 0.928 0.293
0.755 0.707 0.072
0.796 0.638 0.638
0.204 0.362 0.362
```



Referenced to the most stable arrangement, the calculated values in eV/atom are i 0.000; ii 0.007.



--- i ---
Material: SrAlBr2
Method: DFT, PBE
State: optimized geometry

POSCAR file:
```
SrAlBr2
1.0
3.852 0.012 0.000
-0.819 3.764 0.000
0.000 0.000 9.176
Sr Al Br
1 1 2
Direct
0.000 0.000 0.508
0.500 0.500 0.756
0.000 0.000 0.914
0.500 0.500 0.321
```



--- ii ---
Material: SrAlBr2
Method: DFT, PBE
State: optimized geometry

POSCAR file:
```
SrAlBr2
1.0
-3.221 3.780 -1.739
-3.477 0.234 -3.942
-5.511 -1.588 3.198
Sr Al Br
1 1 2
Direct
0.750 0.750 0.750
0.250 0.250 0.250
0.035 0.035 0.976
0.465 0.465 0.524
```



Referenced to the most stable arrangement, the calculated values in eV/atom are i 0.091; ii 0.000.



--- i ---
Material: SrAlBr2
Method: DFT, PBE
State: optimized geometry

POSCAR file:
```
SrAlBr2
1.0
2.645 0.000 9.355
-1.322 2.291 9.355
-1.322 -2.291 9.355
Sr Al Br
1 1 2
Direct
0.000 0.000 0.000
0.500 0.500 0.500
0.895 0.895 0.895
0.105 0.105 0.105
```



--- ii ---
Material: SrAlBr2
Method: DFT, PBE
State: optimized geometry

POSCAR file:
```
SrAlBr2
1.0
-3.727 3.877 2.653
-3.277 -1.099 -2.999
-3.279 -4.292 1.665
Sr Al Br
1 1 2
Direct
0.000 0.324 0.478
0.500 0.737 0.651
0.000 0.027 0.071
0.500 0.412 0.300
```



Referenced to the most stable arrangement, the calculated values in eV/atom are i 0.266; ii 0.000.



--- i ---
Material: SrAlBr2
Method: DFT, PBE
State: optimized geometry

POSCAR file:
```
SrAlBr2
1.0
-0.519 0.530 4.170
4.381 -4.246 1.085
3.199 3.296 -0.021
Sr Al Br
1 1 2
Direct
0.500 0.000 0.500
0.000 0.500 0.500
0.000 0.000 0.000
0.500 0.500 0.000
```



--- ii ---
Material: SrAlBr2
Method: DFT, PBE
State: optimized geometry

POSCAR file:
```
SrAlBr2
1.0
-9.593 0.865 4.165
-7.140 2.822 7.153
-8.460 5.017 3.658
Sr Al Br
1 1 2
Direct
0.500 0.500 0.500
0.000 0.000 0.000
0.890 0.890 0.890
0.110 0.110 0.110
```



Referenced to the most stable arrangement, the calculated values in eV/atom are i 0.088; ii 0.000.



--- i ---
Material: SrAlBr2
Method: DFT, PBE
State: optimized geometry

POSCAR file:
```
SrAlBr2
1.0
-2.291 -2.744 -1.781
2.148 -2.983 1.834
-4.628 0.168 5.693
Sr Al Br
1 1 2
Direct
0.500 0.500 0.250
0.500 0.500 0.750
0.000 0.000 0.020
0.000 0.000 0.480
```



--- ii ---
Material: SrAlBr2
Method: DFT, PBE
State: optimized geometry

POSCAR file:
```
SrAlBr2
1.0
-1.677 3.287 -2.847
-3.488 0.441 2.563
2.555 4.636 3.846
Sr Al Br
1 1 2
Direct
0.500 0.250 0.250
0.500 0.750 0.750
0.000 0.995 0.005
0.000 0.505 0.495
```



--- iii ---
Material: SrAlBr2
Method: DFT, PBE
State: optimized geometry

POSCAR file:
```
SrAlBr2
1.0
7.294 -0.007 0.008
6.144 3.931 0.008
1.491 0.435 4.412
Sr Al Br
1 1 2
Direct
0.464 0.464 0.537
0.235 0.235 0.265
0.018 0.018 0.983
0.784 0.784 0.715
```



--- iv ---
Material: SrAlBr2
Method: DFT, PBE
State: optimized geometry

POSCAR file:
```
SrAlBr2
1.0
-3.481 -2.385 1.371
-0.203 -2.311 -4.535
3.152 -3.621 1.704
Sr Al Br
1 1 2
Direct
0.500 0.500 0.000
0.500 0.000 0.500
0.000 0.000 0.000
0.000 0.500 0.500
```



Referenced to the most stable arrangement, the calculated values in eV/atom are i 0.098; ii 0.059; iii 0.000; iv 0.068.



--- i ---
Material: SrAlBr2
Method: DFT, PBE
State: optimized geometry

POSCAR file:
```
SrAlBr2
1.0
5.763 -0.019 -0.002
1.054 5.665 0.002
-2.785 -3.575 3.559
Sr Al Br
1 1 2
Direct
0.750 0.250 0.500
0.250 0.750 0.500
0.023 0.023 0.000
0.477 0.477 0.000
```



--- ii ---
Material: SrAlBr2
Method: DFT, PBE
State: optimized geometry

POSCAR file:
```
SrAlBr2
1.0
-2.248 -3.630 -1.027
3.772 -2.115 -0.782
0.216 -1.823 5.974
Sr Al Br
1 1 2
Direct
0.000 0.000 0.470
0.500 0.500 0.807
0.000 0.000 0.959
0.500 0.500 0.263
```



Referenced to the most stable arrangement, the calculated values in eV/atom are i 0.000; ii 0.069.